# 1
Density functional theory data (PBE) for crystalline AlSbAu2 at its relaxed geometry.

Calculated values
Total moment = 0.00 μB per formula unit
Space group = No. 166
VASP energy = -3.762 eV per atom
Distance to the lowest polymorph of the same formula = 9.9 meV/atom
DOS at the Fermi energy = 1.74 states/eV/f.u.

a b c (Å): 8.2718 8.2718 8.2718
angles (deg): 23.95 23.95 23.95
Atoms (fractional coordinates):
Au  0.0101  0.0101  0.0101
Au  0.4899  0.4899  0.4899
Al  0.7500  0.7500  0.7500
Sb  0.2500  0.2500  0.2500

=====

# 2
Density functional theory data (PBE) for crystalline AlSbAu2 at its relaxed geometry.

Calculated values
Total moment = 0.00 μB per formula unit
Space group = No. 71
VASP energy = -3.584 eV per atom
Distance to the lowest polymorph of the same formula = 187.6 meV/atom
DOS at the Fermi energy = 1.74 states/eV/f.u.

a b c (Å): 5.1766 5.1766 5.1766
angles (deg): 134.68 122.59 76.00
Atoms (fractional coordinates):
Sb  0.2500  0.7500  0.5000
Au  0.9733  0.9733  0.0000
Au  0.5267  0.5267  0.0000
Al  0.7500  0.2500  0.5000

=====

# 3
Density functional theory data (PBE) for crystalline AlSbAu2 at its relaxed geometry.

Calculated values
Total moment = 0.00 μB per formula unit
Space group = No. 216
VASP energy = -3.466 eV per atom
Distance to the lowest polymorph of the same formula = 305.5 meV/atom
DOS at the Fermi energy = 2.00 states/eV/f.u.

a b c (Å): 4.8556 4.8556 4.8556
angles (deg): 60.00 60.00 60.00
Atoms (fractional coordinates):
Au  0.2500  0.2500  0.2500
Sb  0.7500  0.7500  0.7500
Al  0.5000  0.5000  0.5000
Au  0.0000  0.0000  0.0000

=====

# 4
Density functional theory data (PBE) for crystalline AlSb2Au at its relaxed geometry.

Calculated values
Total moment = 0.00 μB per formula unit
Space group = No. 44
VASP energy = -3.735 eV per atom
DOS at the Fermi energy = 1.74 states/eV/f.u.

a b c (Å): 6.2260 6.2260 6.2260
angles (deg): 150.30 128.13 60.92
Atoms (fractional coordinates):
Sb  0.7074  0.2074  0.5000
Sb  0.0387  0.0387  0.0000
Au  0.2829  0.7829  0.5000
Al  0.4710  0.4710  0.0000

=====

# 5
Density functional theory data (PBE) for crystalline AlSb2Au at its relaxed geometry.

Calculated values
Total moment = 0.00 μB per formula unit
Space group = No. 65
VASP energy = -3.639 eV per atom
DOS at the Fermi energy = 1.37 states/eV/f.u.

a b c (Å): 3.4286 3.4286 7.8823
angles (deg): 90.00 90.00 99.90
Atoms (fractional coordinates):
Sb  0.0000  0.0000  0.9985
Al  0.5000  0.5000  0.2500
Sb  0.0000  0.0000  0.5015
Au  0.5000  0.5000  0.7500

=====

# 6
Density functional theory data (PBE) for crystalline AlSb2Au at its relaxed geometry.

Calculated values
Total moment = 0.00 μB per formula unit
Space group = No. 139
VASP energy = -3.786 eV per atom
DOS at the Fermi energy = 1.65 states/eV/f.u.

a b c (Å): 5.0189 5.0176 5.0231
angles (deg): 69.56 72.40 110.41
Atoms (fractional coordinates):
Al  0.0000  0.5000  0.5000
Au  0.5000  0.5000  0.0000
Sb  0.0000  0.0000  0.0000
Sb  0.5000  0.0000  0.5000

=====

# 7
Density functional theory data (PBE) for crystalline Al2SbAu at its relaxed geometry.

Calculated values
Total moment = 0.00 μB per formula unit
Space group = No. 123
VASP energy = -3.614 eV per atom
DOS at the Fermi energy = 1.65 states/eV/f.u.

a b c (Å): 4.8320 4.8320 3.4657
angles (deg): 90.00 90.00 90.00
Atoms (fractional coordinates):
Au  0.5000  0.0000  0.5000
Sb  0.0000  0.5000  0.5000
Al  0.5000  0.5000  0.0000
Al  0.0000  0.0000  0.0000

=====

# 8
Density functional theory data (PBE) for crystalline AlSb2Au at its relaxed geometry.

Calculated values
Total moment = 0.00 μB per formula unit
Space group = No. 8
VASP energy = -3.890 eV per atom
DOS at the Fermi energy = 0.65 states/eV/f.u.

a b c (Å): 4.4976 4.4976 6.3067
angles (deg): 72.28 72.28 53.70
Atoms (fractional coordinates):
Al  0.5096  0.5096  0.4473
Sb  0.0163  0.0163  0.0562
Sb  0.7288  0.7288  0.7005
Au  0.2453  0.2453  0.2960

=====

# 9
Density functional theory data (PBE) for crystalline Al2SbAu at its relaxed geometry.

Calculated values
Total moment = 0.00 μB per formula unit
Space group = No. 160
VASP energy = -3.699 eV per atom
DOS at the Fermi energy = 1.86 states/eV/f.u.

a b c (Å): 8.3670 8.3670 8.3670
angles (deg): 23.68 23.68 23.68
Atoms (fractional coordinates):
Al  0.2467  0.2467  0.2467
Au  0.5113  0.5113  0.5113
Sb  0.7484  0.7484  0.7484
Al  0.9936  0.9936  0.9936

=====

# 10
Density functional theory data (PBE) for crystalline AlSbAu2 at its relaxed geometry.

Calculated values
Total moment = 0.00 μB per formula unit
Space group = No. 65
VASP energy = -3.694 eV per atom
Distance to the lowest polymorph of the same formula = 77.5 meV/atom
DOS at the Fermi energy = 1.30 states/eV/f.u.

a b c (Å): 4.2554 4.5213 4.5196
angles (deg): 81.72 90.00 90.00
Atoms (fractional coordinates):
Sb  0.5000  0.2500  0.2500
Al  0.5000  0.7500  0.7500
Au  0.0000  0.5336  0.5337
Au  0.0000  0.9664  0.9663

=====

# 11
Density functional theory data (PBE) for crystalline AlSb2Au3 at its relaxed geometry.

Calculated values
Total moment = 0.00 μB per formula unit
Space group = No. 8
VASP energy = -3.713 eV per atom
DOS at the Fermi energy = 2.74 states/eV/f.u.

a b c (Å): 4.0022 4.0018 9.3019
angles (deg): 107.93 107.94 90.36
Atoms (fractional coordinates):
Sb  0.8040  0.8055  0.5493
Au  0.9352  0.9366  0.8743
Al  0.4350  0.4365  0.8738
Au  0.3136  0.3150  0.5645
Au  0.5537  0.5552  0.1828
Sb  0.0639  0.0654  0.1991

=====

# 12
Density functional theory data (PBE) for crystalline AlSb2Au at its relaxed geometry.

Calculated values
Total moment = 0.00 μB per formula unit
Space group = No. 99
VASP energy = -3.756 eV per atom
DOS at the Fermi energy = 2.02 states/eV/f.u.

a b c (Å): 3.5936 3.5936 7.4421
angles (deg): 90.00 90.00 90.00
Atoms (fractional coordinates):
Au  0.5000  0.5000  0.7065
Sb  0.5000  0.5000  0.3264
Sb  0.0000  0.0000  0.9265
Al  0.0000  0.0000  0.5406

=====

# 13
Density functional theory data (PBE) for crystalline Al2SbAu at its relaxed geometry.

Calculated values
Total moment = 0.00 μB per formula unit
Space group = No. 44
VASP energy = -3.638 eV per atom
DOS at the Fermi energy = 1.55 states/eV/f.u.

a b c (Å): 5.9857 5.9857 5.9857
angles (deg): 150.99 128.03 60.62
Atoms (fractional coordinates):
Al  0.0216  0.0216  0.0000
Au  0.4750  0.4750  0.0000
Al  0.2608  0.7608  0.5000
Sb  0.7426  0.2426  0.5000

=====

# 14
Density functional theory data (PBE) for crystalline AlSb2Au at its relaxed geometry.

Calculated values
Total moment = 0.00 μB per formula unit
Space group = No. 38
VASP energy = -3.884 eV per atom
DOS at the Fermi energy = 1.80 states/eV/f.u.

a b c (Å): 4.6313 4.6020 4.6003
angles (deg): 75.68 90.00 90.00
Atoms (fractional coordinates):
Sb  0.5000  0.3060  0.3057
Al  0.0000  0.5332  0.5337
Au  0.5000  0.7193  0.7190
Sb  0.0000  0.9415  0.9417

=====

# 15
Density functional theory data (PBE) for crystalline Al3Sb5Au12 at its relaxed geometry.

Calculated values
Total moment = 0.00 μB per formula unit
Space group = No. 230
VASP energy = -3.560 eV per atom
DOS at the Fermi energy = 12.88 states/eV/f.u.

a b c (Å): 13.5736 13.5736 13.5736
angles (deg): 109.47 109.47 109.47
Atoms (fractional coordinates):
Au  0.9321  0.8352  0.5720
Au  0.0969  0.9321  0.3601
Au  0.0969  0.1648  0.2368
Au  0.2632  0.8601  0.9280
Sb  0.8750  0.6250  0.7500
Au  0.6399  0.0720  0.2368
Al  0.2500  0.1250  0.3750
Au  0.9280  0.3601  0.2632
Au  0.8601  0.2632  0.4280
Au  0.6648  0.4280  0.5679
Sb  0.0000  0.5000  0.5000
Au  0.0720  0.4321  0.8352
Au  0.7368  0.1399  0.0720
Au  0.4031  0.1399  0.5679
Al  0.3750  0.7500  0.6250
Sb  0.3750  0.1250  0.7500
Al  0.7500  0.8750  0.6250
Al  0.7500  0.3750  0.1250
Au  0.9031  0.0679  0.6399
Au  0.5969  0.7368  0.6648
Au  0.7368  0.5969  0.1648
Au  0.8601  0.5969  0.9321
Au  0.8352  0.9321  0.0720
Au  0.3601  0.4321  0.0969
Sb  0.0000  0.0000  0.0000
Au  0.4321  0.0720  0.3352
Al  0.3750  0.6250  0.2500
Au  0.7632  0.3352  0.9031
Sb  0.1250  0.3750  0.2500
Au  0.5720  0.2368  0.1399
Au  0.5969  0.8601  0.4321
Sb  0.6250  0.8750  0.2500
Au  0.3352  0.7632  0.4031
Au  0.3601  0.9280  0.7632
Al  0.1250  0.8750  0.7500
Au  0.6399  0.5679  0.9031
Sb  0.5000  0.0000  0.5000
Au  0.6648  0.2368  0.5969
Sb  0.0000  0.0000  0.5000
Au  0.1648  0.0679  0.9280
Sb  0.7500  0.1250  0.8750
Al  0.2500  0.6250  0.8750
Sb  0.3750  0.2500  0.1250
Au  0.5679  0.6399  0.4031
Au  0.5679  0.9280  0.6648
Au  0.3352  0.5720  0.4321
Sb  0.5000  0.5000  0.5000
Sb  0.2500  0.8750  0.1250
Au  0.4031  0.2632  0.3352
Au  0.2368  0.6648  0.0969
Al  0.6250  0.2500  0.3750
Al  0.8750  0.1250  0.2500
Au  0.7632  0.4280  0.3601
Au  0.1648  0.0969  0.7368
Au  0.1399  0.4031  0.0679
Au  0.9280  0.5679  0.1648
Au  0.0679  0.1648  0.4280
Au  0.9031  0.8352  0.7632
Al  0.8750  0.7500  0.1250
Sb  0.8750  0.2500  0.6250
Sb  0.0000  0.5000  0.0000
Sb  0.7500  0.6250  0.3750
Al  0.6250  0.3750  0.7500
Al  0.1250  0.2500  0.8750
Au  0.1399  0.7368  0.5720
Au  0.8352  0.9031  0.2632
Au  0.5720  0.3352  0.9321
Au  0.4280  0.7632  0.8601
Au  0.4321  0.3601  0.5969
Sb  0.5000  0.5000  0.0000
Au  0.9321  0.0969  0.8601
Sb  0.2500  0.3750  0.6250
Sb  0.1250  0.7500  0.3750
Au  0.0720  0.6399  0.7368
Sb  0.6250  0.7500  0.8750
Sb  0.5000  0.0000  0.0000
Au  0.4280  0.6648  0.0679
Au  0.2632  0.4031  0.8352
Au  0.0679  0.9031  0.1399
Au  0.2368  0.5720  0.6399

=====

# 16
Density functional theory data (PBE) for crystalline AlSbAu2 at its relaxed geometry.

Calculated values
Total moment = 0.00 μB per formula unit
Space group = No. 123
VASP energy = -3.572 eV per atom
Distance to the lowest polymorph of the same formula = 199.6 meV/atom
DOS at the Fermi energy = 1.32 states/eV/f.u.

a b c (Å): 4.4886 4.4838 3.9737
angles (deg): 90.00 90.00 90.00
Atoms (fractional coordinates):
Au  0.0000  0.0000  0.0000
Sb  0.5000  0.0000  0.5000
Al  0.0000  0.5000  0.5000
Au  0.5000  0.5000  0.0000

=====

# 17
Density functional theory data (PBE) for crystalline AlSb2Au at its relaxed geometry.

Calculated values
Total moment = 0.00 μB per formula unit
Space group = No. 12
VASP energy = -3.791 eV per atom
DOS at the Fermi energy = 2.55 states/eV/f.u.

a b c (Å): 4.0642 4.0642 7.0478
angles (deg): 72.62 72.62 60.72
Atoms (fractional coordinates):
Sb  0.5010  0.5010  0.4965
Au  0.2500  0.2500  0.2500
Al  0.7500  0.7500  0.7500
Sb  0.9990  0.9990  0.0035

=====

# 18
Density functional theory data (PBE) for crystalline AlSbAu2 at its relaxed geometry.

Calculated values
Total moment = 0.00 μB per formula unit
Space group = No. 122
VASP energy = -3.692 eV per atom
Distance to the lowest polymorph of the same formula = 80.1 meV/atom
DOS at the Fermi energy = 1.99 states/eV/f.u.

a b c (Å): 4.6001 4.6001 9.0532
angles (deg): 75.28 75.28 90.00
Atoms (fractional coordinates):
Au  0.5831  0.1250  0.2500
Al  0.5000  0.5000  0.0000
Sb  0.0000  0.0000  0.0000
Au  0.8750  0.8331  0.7500
Au  0.3750  0.4169  0.7500
Au  0.1669  0.6250  0.2500
Sb  0.7500  0.2500  0.5000
Al  0.2500  0.7500  0.5000

=====

# 19
Density functional theory data (PBE) for crystalline AlSb2Au at its relaxed geometry.

Calculated values
Total moment = 0.00 μB per formula unit
Space group = No. 47
VASP energy = -3.651 eV per atom
DOS at the Fermi energy = 1.66 states/eV/f.u.

a b c (Å): 3.8859 5.3700 4.4364
angles (deg): 90.00 90.00 90.00
Atoms (fractional coordinates):
Al  0.5000  0.0000  0.5000
Sb  0.0000  0.0000  0.0000
Au  0.0000  0.5000  0.5000
Sb  0.5000  0.5000  0.0000

=====

# 20
Density functional theory data (PBE) for crystalline AlSb3Au at its relaxed geometry.

Calculated values
Total moment = 0.00 μB per formula unit
Space group = No. 221
VASP energy = -3.161 eV per atom
Distance to the lowest polymorph of the same formula = 37.5 meV/atom
DOS at the Fermi energy = 5.88 states/eV/f.u.

a b c (Å): 5.4276 5.4276 5.4276
angles (deg): 90.00 90.00 90.00
Atoms (fractional coordinates):
Sb  0.0000  0.0000  0.5000
Au  0.0000  0.0000  0.0000
Al  0.5000  0.5000  0.5000
Sb  0.5000  0.0000  0.0000
Sb  0.0000  0.5000  0.0000

=====

# 21
Density functional theory data (PBE) for crystalline Al2SbAu at its relaxed geometry.

Calculated values
Total moment = 0.00 μB per formula unit
Space group = No. 47
VASP energy = -3.737 eV per atom
DOS at the Fermi energy = 1.49 states/eV/f.u.

a b c (Å): 3.1182 3.3353 7.5906
angles (deg): 90.00 90.00 90.00
Atoms (fractional coordinates):
Al  0.0000  0.0000  0.4620
Al  0.0000  0.0000  0.0380
Au  0.5000  0.5000  0.2500
Sb  0.5000  0.5000  0.7500

=====

# 22
Density functional theory data (PBE) for crystalline Al2SbAu at its relaxed geometry.

Calculated values
Total moment = 0.00 μB per formula unit
Space group = No. 10
VASP energy = -3.727 eV per atom
DOS at the Fermi energy = 1.49 states/eV/f.u.

a b c (Å): 3.5964 4.2735 5.8935
angles (deg): 68.13 90.00 90.00
Atoms (fractional coordinates):
Au  0.5000  0.2500  0.2500
Al  0.0000  0.4678  0.4861
Al  0.0000  0.0322  0.0139
Sb  0.5000  0.7500  0.7500

=====

# 23
Density functional theory data (PBE) for crystalline Al2SbAu at its relaxed geometry.

Calculated values
Total moment = 0.00 μB per formula unit
Space group = No. 65
VASP energy = -3.632 eV per atom
DOS at the Fermi energy = 2.23 states/eV/f.u.

a b c (Å): 4.8877 4.8877 3.4956
angles (deg): 90.00 90.00 105.93
Atoms (fractional coordinates):
Al  0.5000  0.5000  0.0000
Al  0.0000  0.0000  0.0000
Sb  0.0000  0.5000  0.5000
Au  0.5000  0.0000  0.5000

=====

# 24
Density functional theory data (PBE) for crystalline Al2SbAu at its relaxed geometry.

Calculated values
Total moment = 0.00 μB per formula unit
Space group = No. 6
VASP energy = -3.772 eV per atom
DOS at the Fermi energy = 1.16 states/eV/f.u.

a b c (Å): 5.3909 3.9453 3.9477
angles (deg): 88.94 90.00 90.00
Atoms (fractional coordinates):
Au  0.0000  0.4248  0.4259
Al  0.0000  0.9619  0.9647
Sb  0.5000  0.8048  0.8029
Al  0.5000  0.3085  0.3066

=====

# 25
Density functional theory data (PBE) for crystalline AlSb2Au at its relaxed geometry.

Calculated values
Total moment = 0.00 μB per formula unit
Space group = No. 119
VASP energy = -3.645 eV per atom
DOS at the Fermi energy = 1.99 states/eV/f.u.

a b c (Å): 6.1829 6.1829 6.1829
angles (deg): 141.08 141.08 56.22
Atoms (fractional coordinates):
Al  0.5000  0.5000  0.0000
Au  0.7500  0.2500  0.5000
Sb  0.0000  0.0000  0.0000
Sb  0.2500  0.7500  0.5000

=====

# 26
Density functional theory data (PBE) for crystalline Al2SbAu at its relaxed geometry.

Calculated values
Total moment = 0.00 μB per formula unit
Space group = No. 12
VASP energy = -3.671 eV per atom
DOS at the Fermi energy = 1.62 states/eV/f.u.

a b c (Å): 4.6557 4.6557 4.1834
angles (deg): 78.91 78.91 103.76
Atoms (fractional coordinates):
Au  0.5000  0.0000  0.5000
Al  0.5000  0.5000  0.0000
Sb  0.0000  0.5000  0.5000
Al  0.0000  0.0000  0.0000